This record from Alexandria via LeMat-Bulk describes an optimized crystal structure of FeTcN2F. The functional is PBE with a Hubbard U.

The total energy is -6.740 eV per atom. For the theoretical density, the calculation gives 5.40 g/cm³. For the total magnetic moment, the calculation gives 0.78 μB/atom.

Lattice parameters (Å, degrees): 3.887 3.887 4.090 90.00 90.00 90.00
Positions (direct):
N: 0.000 0.500 0.000
N: 0.500 0.000 0.000
F: 0.000 0.000 0.500
Tc: 0.000 0.000 0.000
Fe: 0.500 0.500 0.500